Record 1
# AcLaYTe3

AcLaYTe3 after structural relaxation (PBE, Alexandria). Values from VASP.

Computed properties:
**Energy**: -32.93 eV per formula unit
**Space group**: P2_1/m (11)
**Crystal system**: monoclinic
**Formation energy from raw total energies**: -1.334 eV/atom

Structure (Quantum ESPRESSO input):
```
&SYSTEM
  ibrav = 0, nat = 12, ntyp = 4
/
ATOMIC_SPECIES
Ac 227.00 Ac.upf
La 138.91 La.upf
Y 88.91 Y.upf
Te 127.60 Te.upf
ATOMIC_POSITIONS angstrom
Ac 1.173 0.960 2.273
Ac 3.520 4.850 7.278
La 1.173 5.327 0.892
La 3.520 0.484 8.659
Y 1.173 -0.673 6.156
Y 3.520 6.483 3.394
Te 3.520 7.595 0.523
Te 1.173 -1.784 9.027
Te 1.173 5.088 4.732
Te 3.520 0.723 4.819
Te 3.520 3.366 1.803
Te 1.173 2.444 7.747
CELL_PARAMETERS angstrom
4.693 0.000 0.000
0.000 8.799 -0.622
0.000 -2.989 10.173
```

=====

Record 2
# AcLa4Th

AcLa4Th after structural relaxation (PBE, Alexandria). Values from VASP.

Computed properties:
**Energy**: -30.95 eV per formula unit
**Space group**: C2/m (12)
**Formation energy**: 0.048 eV per atom
**Crystal system**: monoclinic

Structure (Quantum ESPRESSO input):
```
&SYSTEM
  ibrav = 0, nat = 6, ntyp = 3
/
ATOMIC_SPECIES
Ac 227.00 Ac.upf
La 138.91 La.upf
Th 232.04 Th.upf
ATOMIC_POSITIONS angstrom
Ac -0.586 -3.660 0.583
La -4.922 1.447 3.977
La -0.278 -3.202 4.281
La -2.494 -0.669 6.106
La -2.706 -1.085 2.153
Th 0.000 0.000 0.000
CELL_PARAMETERS angstrom
-3.028 -1.630 -1.416
1.856 -5.690 2.581
-4.029 5.565 7.093
```

=====

Q: Among the records above, which one has the lowest energy?
A: AcLaYTe3

=====

Q: What is the energy in the second record?
A: -30.95 eV per formula unit

=====

Copy entry 1 word for word.
# AcLaYTe3

AcLaYTe3 after structural relaxation (PBE, Alexandria). Values from VASP.

Computed properties:
**Energy**: -32.93 eV per formula unit
**Space group**: P2_1/m (11)
**Crystal system**: monoclinic
**Formation energy from raw total energies**: -1.334 eV/atom

Structure (Quantum ESPRESSO input):
```
&SYSTEM
  ibrav = 0, nat = 12, ntyp = 4
/
ATOMIC_SPECIES
Ac 227.00 Ac.upf
La 138.91 La.upf
Y 88.91 Y.upf
Te 127.60 Te.upf
ATOMIC_POSITIONS angstrom
Ac 1.173 0.960 2.273
Ac 3.520 4.850 7.278
La 1.173 5.327 0.892
La 3.520 0.484 8.659
Y 1.173 -0.673 6.156
Y 3.520 6.483 3.394
Te 3.520 7.595 0.523
Te 1.173 -1.784 9.027
Te 1.173 5.088 4.732
Te 3.520 0.723 4.819
Te 3.520 3.366 1.803
Te 1.173 2.444 7.747
CELL_PARAMETERS angstrom
4.693 0.000 0.000
0.000 8.799 -0.622
0.000 -2.989 10.173
```